Model P:
An optimized crystal structure of LaEuSc2, computed with GGA-PBE.

Computed properties:
Total magnetic moment: 6.93 μB per formula unit

The structure in extended XYZ format:
```
4
Lattice="-5.128 -0.648 -2.109 -1.244 -4.566 -2.960 -3.426 -3.858 2.129" Properties=species:S:1:pos:R:3 pbc="T T T"
Eu 0.000 0.000 0.000
Sc -2.449 -2.268 -0.735
Sc -7.348 -6.805 -2.205
La -4.899 -4.536 -1.470
```


Model Q:
An optimized crystal structure of LaEuSc2, computed with GGA-PBE.

Computed properties:
Total magnetic moment: 7.05 μB per formula unit

The structure in extended XYZ format:
```
4
Lattice="-0.355 -2.624 2.841 3.257 -1.741 -1.201 4.374 4.769 4.952" Properties=species:S:1:pos:R:3 pbc="T T T"
Eu 1.451 -2.182 0.820
Sc 3.285 3.582 3.720
Sc 1.089 1.187 1.233
La 3.638 0.202 3.296
```


Short version: model Q is the most stable of them.


Model P:
An optimized crystal structure of LaSm2Eu, computed with GGA-PBE.

Computed properties:
Total magnetic moment: 7.29 μB per formula unit

The structure in extended XYZ format:
```
4
Lattice="5.270 0.000 0.000 0.000 5.221 0.000 0.000 0.000 5.221" Properties=species:S:1:pos:R:3 pbc="T T T"
Eu 2.635 0.000 0.000
Sm 0.000 0.000 2.610
Sm 0.000 2.610 0.000
La 2.635 2.610 2.610
```


Model Q:
An optimized crystal structure of LaSm2Eu, computed with GGA-PBE.

Computed properties:
Total magnetic moment: 7.75 μB per formula unit

The structure in extended XYZ format:
```
4
Lattice="-3.344 0.927 1.344 0.935 -1.424 3.308 3.767 9.321 2.947" Properties=species:S:1:pos:R:3 pbc="T T T"
Eu 0.679 4.412 3.800
Sm 2.863 7.083 2.240
Sm 0.904 2.238 0.708
La -1.205 -0.249 2.326
```


Short version: model Q is the most stable of them.


Model P:
An optimized crystal structure of LaSm2Eu, computed with GGA-PBE.

Computed properties:
Total magnetic moment: 7.77 μB per formula unit

The structure in extended XYZ format:
```
4
Lattice="-2.951 1.300 -1.537 -3.155 -1.573 0.576 -3.999 7.618 9.971" Properties=species:S:1:pos:R:3 pbc="T T T"
Eu -5.053 3.672 4.505
Sm -3.483 5.592 7.267
Sm -6.622 1.752 1.744
La 0.000 0.000 0.000
```


Model Q:
An optimized crystal structure of LaSm2Eu, computed with GGA-PBE.

Computed properties:
Total magnetic moment: 8.08 μB per formula unit

The structure in extended XYZ format:
```
4
Lattice="-3.202 4.808 1.217 -3.520 2.325 -4.129 -5.863 -0.418 0.543" Properties=species:S:1:pos:R:3 pbc="T T T"
Eu 0.000 0.000 0.000
Sm -3.146 1.679 -0.592
Sm -9.438 5.036 -1.777
La -6.292 3.357 -1.185
```


Short version: model Q is the most stable of them.